No. 1
{"formula": "YTi2Ni2", "functional": "PBE", "state": "optimized geometry", "lattice": [[-2.109, 2.109, 4.929], [2.109, -2.109, 4.929], [2.109, 2.109, -4.929]], "species": ["Y", "Ti", "Ti", "Ni", "Ni"], "frac_coords": [[0.000, 0.000, 0.000], [0.250, 0.750, 0.500], [0.750, 0.250, 0.500], [0.380, 0.380, 0.000], [0.620, 0.620, 0.000]], "magnetic_moment_mub_per_fu": 0.000, "sg": "No. 139", "delta_e_f_ev_per_fu": -1.52, "total_energy_ev_per_atom": -7.07}

=====

No. 2
{"formula": "YTi2Ni2", "functional": "PBE", "state": "optimized geometry", "lattice": [[7.484, 0.000, 0.000], [0.000, 7.484, 0.000], [0.000, 0.000, 2.894]], "species": ["Y", "Y", "Ti", "Ti", "Ti", "Ti", "Ni", "Ni", "Ni", "Ni"], "frac_coords": [[0.000, 0.000, 0.000], [0.500, 0.500, 0.000], [0.146, 0.354, 0.000], [0.354, 0.854, 0.000], [0.646, 0.146, 0.000], [0.854, 0.646, 0.000], [0.141, 0.641, 0.500], [0.359, 0.141, 0.500], [0.641, 0.859, 0.500], [0.859, 0.359, 0.500]], "magnetic_moment_mub_per_fu": 0.000, "sg": "No. 127", "delta_e_f_ev_per_fu": -0.63, "total_energy_ev_per_atom": -6.89}

=====

What did the first record say?
{"formula": "YTi2Ni2", "functional": "PBE", "state": "optimized geometry", "lattice": [[-2.109, 2.109, 4.929], [2.109, -2.109, 4.929], [2.109, 2.109, -4.929]], "species": ["Y", "Ti", "Ti", "Ni", "Ni"], "frac_coords": [[0.000, 0.000, 0.000], [0.250, 0.750, 0.500], [0.750, 0.250, 0.500], [0.380, 0.380, 0.000], [0.620, 0.620, 0.000]], "magnetic_moment_mub_per_fu": 0.000, "sg": "No. 139", "delta_e_f_ev_per_fu": -1.52, "total_energy_ev_per_atom": -7.07}